Entry 1:
{"formula": "Gd2TlZn", "functional": "GGA-PBEsol", "state": "optimized geometry", "space_group": "Fm-3m, No. 225", "delta_e_f_ev_per_atom": -0.3977, "lattice": [[5.1743, 0.0000, 0.0000], [2.5872, 4.4811, 0.0000], [2.5872, 1.4937, 4.2248]], "species": ["Tl", "Gd", "Gd", "Zn"], "fractional_positions": [[0.0000, 0.0000, 0.0000], [0.2500, 0.2500, 0.2500], [0.7500, 0.7500, 0.7500], [0.5000, 0.5000, 0.5000]]}

Entry 2:
{"formula": "GdY3", "functional": "GGA-PBEsol", "state": "optimized geometry", "space_group": "Pm-3m, No. 221", "delta_e_f_ev_per_atom": 0.0187, "lattice": [[-2.8820, 0.5110, -4.0005], [3.8521, -1.1072, -2.9166], [-1.1942, -4.8046, 0.2466]], "species": ["Y", "Y", "Y", "Gd"], "fractional_positions": [[0.5000, 0.0000, 0.5000], [0.5000, 0.5000, 0.0000], [0.0000, 0.5000, 0.5000], [0.0000, 0.0000, 0.0000]]}

Entry 3:
{"formula": "Gd2Zn17", "functional": "GGA-PBEsol", "state": "optimized geometry", "space_group": "R-3m, No. 166", "delta_e_f_ev_per_atom": -0.2635, "lattice": [[-6.0816, 1.1120, 2.4947], [-2.1664, -6.2997, -0.2558], [1.3875, -1.6118, 6.3184]], "species": ["Gd", "Gd", "Zn", "Zn", "Zn", "Zn", "Zn", "Zn", "Zn", "Zn", "Zn", "Zn", "Zn", "Zn", "Zn", "Zn", "Zn", "Zn", "Zn"], "fractional_positions": [[0.3362, 0.3362, 0.3362], [0.6638, 0.6638, 0.6638], [0.3513, 0.8394, 0.3513], [0.3513, 0.3513, 0.8394], [0.0997, 0.0997, 0.0997], [0.0000, 0.0000, 0.5000], [0.1606, 0.6487, 0.6487], [0.7043, 0.0000, 0.2957], [0.6487, 0.1606, 0.6487], [0.0000, 0.7043, 0.2957], [0.6487, 0.6487, 0.1606], [0.2957, 0.7043, 0.0000], [0.8394, 0.3513, 0.3513], [0.7043, 0.2957, 0.0000], [0.0000, 0.5000, 0.0000], [0.2957, 0.0000, 0.7043], [0.0000, 0.2957, 0.7043], [0.9003, 0.9003, 0.9003], [0.5000, 0.0000, 0.0000]]}

Entry 4:
{"formula": "Gd6Zn23", "functional": "GGA-PBEsol", "state": "optimized geometry", "space_group": "Fm-3m, No. 225", "delta_e_f_ev_per_atom": -0.3202, "lattice": [[-1.9359, -3.7583, 7.7753], [6.4932, -3.0835, 5.1633], [2.0059, 4.1625, 7.5484]], "species": ["Zn", "Zn", "Zn", "Zn", "Zn", "Zn", "Zn", "Zn", "Zn", "Zn", "Zn", "Zn", "Zn", "Zn", "Zn", "Zn", "Zn", "Zn", "Zn", "Zn", "Zn", "Zn", "Zn", "Gd", "Gd", "Gd", "Gd", "Gd", "Gd"], "fractional_positions": [[0.1229, 0.6314, 0.1229], [0.5000, 0.0000, 0.5000], [0.8771, 0.8771, 0.8771], [0.0000, 0.5000, 0.5000], [0.6726, 0.9823, 0.6726], [0.0177, 0.3274, 0.3274], [0.3274, 0.0177, 0.3274], [0.6726, 0.6726, 0.6726], [0.3686, 0.8771, 0.8771], [0.5000, 0.5000, 0.0000], [0.8771, 0.8771, 0.3686], [0.0000, 0.5000, 0.0000], [0.0000, 0.0000, 0.5000], [0.6726, 0.6726, 0.9823], [0.3274, 0.3274, 0.0177], [0.6314, 0.1229, 0.1229], [0.5000, 0.0000, 0.0000], [0.1229, 0.1229, 0.6314], [0.0000, 0.0000, 0.0000], [0.3274, 0.3274, 0.3274], [0.9823, 0.6726, 0.6726], [0.8771, 0.3686, 0.8771], [0.1229, 0.1229, 0.1229], [0.2920, 0.2920, 0.7080], [0.7080, 0.2920, 0.7080], [0.2920, 0.7080, 0.7080], [0.7080, 0.2920, 0.2920], [0.7080, 0.7080, 0.2920], [0.2920, 0.7080, 0.2920]]}

Entry 5:
{"formula": "GdZn2", "functional": "GGA-PBEsol", "state": "optimized geometry", "space_group": "Imma, No. 74", "delta_e_f_ev_per_atom": -0.3896, "lattice": [[4.4398, 0.0000, 0.0000], [2.2199, 5.1210, -0.0375], [2.2199, 0.2876, 5.1130]], "species": ["Zn", "Zn", "Zn", "Zn", "Gd", "Gd"], "fractional_positions": [[0.6651, 0.7832, 0.8866], [0.6651, 0.3866, 0.2832], [0.3349, 0.2168, 0.1134], [0.3349, 0.6134, 0.7168], [0.0375, 0.2125, 0.7125], [0.9625, 0.7875, 0.2875]]}

Entry 6:
{"formula": "Ge", "functional": "GGA-PBEsol", "state": "optimized geometry", "space_group": "P6_3/mmc, No. 194", "delta_e_f_ev_per_atom": 0.0158, "lattice": [[3.9905, 0.0000, 0.0000], [-1.9952, 3.4558, 0.0000], [0.0000, 0.0000, 6.5765]], "species": ["Ge", "Ge", "Ge", "Ge"], "fractional_positions": [[0.6667, 0.3333, 0.5628], [0.6667, 0.3333, 0.9372], [0.3333, 0.6667, 0.4372], [0.3333, 0.6667, 0.0628]]}

Entry 7:
{"formula": "Ge", "functional": "GGA-PBEsol", "state": "optimized geometry", "space_group": "Fd-3m, No. 227", "delta_e_f_ev_per_atom": 0.0000, "lattice": [[-1.6454, -3.4013, 1.3251], [1.4066, -1.7445, 3.3181], [-2.1927, 0.0091, 3.3502]], "species": ["Ge", "Ge"], "fractional_positions": [[0.2500, 0.2500, 0.2500], [0.0000, 0.0000, 0.0000]]}

Entry 8:
{"formula": "Hf2GeH2", "functional": "GGA-PBEsol", "state": "optimized geometry", "space_group": "P4/mbm, No. 127", "lattice": [[-2.8313, 0.5735, 0.6799], [1.3317, -0.7967, 6.2177], [1.3840, 6.2370, 0.5028]], "species": ["Ge", "Ge", "Hf", "Hf", "Hf", "Hf", "H", "H", "H", "H"], "fractional_positions": [[0.0000, 0.5000, 0.5000], [0.0000, 0.0000, 0.0000], [0.5000, 0.8381, 0.3381], [0.5000, 0.3381, 0.1619], [0.5000, 0.6619, 0.8381], [0.5000, 0.1619, 0.6619], [0.0000, 0.0987, 0.4013], [0.0000, 0.4013, 0.9013], [0.0000, 0.9013, 0.5987], [0.0000, 0.5987, 0.0987]]}

Entry 9:
{"formula": "Hf3GeH", "functional": "GGA-PBEsol", "state": "optimized geometry", "space_group": "Pm-3m, No. 221", "lattice": [[-0.4404, 0.0472, 4.2508], [3.0758, -2.9465, 0.3514], [2.9345, 3.0955, 0.2696]], "species": ["Hf", "Hf", "Hf", "Ge", "H"], "fractional_positions": [[0.0000, 0.5000, 0.0000], [0.5000, 0.0000, 0.0000], [0.0000, 0.0000, 0.5000], [0.5000, 0.5000, 0.5000], [0.0000, 0.0000, 0.0000]]}

Entry 10:
{"formula": "HfGeH2Os", "functional": "GGA-PBEsol", "state": "optimized geometry", "space_group": "P4/mmm, No. 123", "lattice": [[3.6364, 0.0000, 0.0000], [0.0000, 3.6364, 0.0000], [0.0000, 0.0000, 4.7577]], "species": ["Ge", "H", "H", "Os", "Hf"], "fractional_positions": [[0.0000, 0.0000, 0.5000], [0.0000, 0.5000, 0.0000], [0.5000, 0.0000, 0.0000], [0.0000, 0.0000, 0.0000], [0.5000, 0.5000, 0.5000]]}

Entry 11:
{"formula": "Hf2GeHPb", "functional": "GGA-PBEsol", "state": "optimized geometry", "space_group": "P4/mmm, No. 123", "lattice": [[4.9767, 0.0000, 0.0000], [0.0000, 4.9767, 0.0000], [0.0000, 0.0000, 5.3580]], "species": ["Ge", "Hf", "Hf", "H", "Pb"], "fractional_positions": [[0.0000, 0.0000, 0.0000], [0.0000, 0.5000, 0.0000], [0.5000, 0.0000, 0.0000], [0.5000, 0.5000, 0.5000], [0.0000, 0.0000, 0.5000]]}

Entry 12:
{"formula": "Hg3GeH", "functional": "GGA-PBEsol", "state": "optimized geometry", "space_group": "Pm-3m, No. 221", "lattice": [[4.5237, 0.0000, 0.0000], [0.0000, 4.5237, 0.0000], [0.0000, 0.0000, 4.5237]], "species": ["Hg", "Hg", "Hg", "Ge", "H"], "fractional_positions": [[0.0000, 0.0000, 0.5000], [0.5000, 0.0000, 0.0000], [0.0000, 0.5000, 0.0000], [0.5000, 0.5000, 0.5000], [0.0000, 0.0000, 0.0000]]}

Entry 13:
{"formula": "Hg2GeHN", "functional": "GGA-PBEsol", "state": "optimized geometry", "space_group": "P4/mmm, No. 123", "lattice": [[4.1600, 0.0000, 0.0000], [0.0000, 4.1600, 0.0000], [0.0000, 0.0000, 4.4336]], "species": ["N", "Hg", "Hg", "H", "Ge"], "fractional_positions": [[0.5000, 0.5000, 0.5000], [0.5000, 0.0000, 0.0000], [0.0000, 0.5000, 0.0000], [0.0000, 0.0000, 0.0000], [0.0000, 0.0000, 0.5000]]}

Entry 14:
{"formula": "HgGeSb2H", "functional": "GGA-PBEsol", "state": "optimized geometry", "space_group": "P4/mmm, No. 123", "lattice": [[-3.1916, 0.9857, 0.5287], [-1.7900, -3.9222, -3.4936], [-0.4052, -3.5769, 4.2232]], "species": ["Ge", "H", "Hg", "Sb", "Sb"], "fractional_positions": [[0.0000, 0.0000, 0.0000], [0.5000, 0.0000, 0.0000], [0.5000, 0.5000, 0.5000], [0.0000, 0.5000, 0.0000], [0.0000, 0.0000, 0.5000]]}

Entry 15:
{"formula": "GeH3I", "functional": "GGA-PBEsol", "state": "optimized geometry", "space_group": "Pm-3m, No. 221", "lattice": [[-1.6220, 3.4337, -1.4273], [0.9572, -1.1191, -3.7801], [-3.5932, -1.8482, -0.3628]], "species": ["I", "H", "H", "H", "Ge"], "fractional_positions": [[0.0000, 0.0000, 0.0000], [0.0000, 0.0000, 0.5000], [0.5000, 0.0000, 0.0000], [0.0000, 0.5000, 0.0000], [0.5000, 0.5000, 0.5000]]}

Entry 16:
{"formula": "Ge2HI", "functional": "GGA-PBEsol", "state": "optimized geometry", "space_group": "Fm-3m, No. 225", "lattice": [[4.8447, 0.0000, 0.0000], [2.4224, 4.1957, 0.0000], [2.4224, 1.3986, 3.9557]], "species": ["Ge", "Ge", "H", "I"], "fractional_positions": [[0.7500, 0.7500, 0.7500], [0.2500, 0.2500, 0.2500], [0.0000, 0.0000, 0.0000], [0.5000, 0.5000, 0.5000]]}

Entry 17:
{"formula": "GeHIO2", "functional": "GGA-PBEsol", "state": "optimized geometry", "space_group": "P4/mmm, No. 123", "lattice": [[3.4759, 0.0000, 0.0000], [0.0000, 4.2162, 0.0000], [0.0000, 0.0000, 4.2162]], "species": ["O", "O", "H", "I", "Ge"], "fractional_positions": [[0.0000, 0.0000, 0.5000], [0.0000, 0.5000, 0.0000], [0.0000, 0.0000, 0.0000], [0.5000, 0.0000, 0.0000], [0.5000, 0.5000, 0.5000]]}

Entry 18:
{"formula": "GeSbHI2", "functional": "GGA-PBEsol", "state": "optimized geometry", "space_group": "P4/mmm, No. 123", "lattice": [[-2.3643, 2.6220, -1.5972], [-1.4974, -3.6641, -3.7986], [-4.0806, -1.7005, 3.2488]], "species": ["Sb", "I", "I", "H", "Ge"], "fractional_positions": [[0.5000, 0.0000, 0.0000], [0.0000, 0.0000, 0.5000], [0.0000, 0.5000, 0.0000], [0.0000, 0.0000, 0.0000], [0.5000, 0.5000, 0.5000]]}

Entry 19:
{"formula": "GeTeHI2", "functional": "GGA-PBEsol", "state": "optimized geometry", "space_group": "P4/mmm, No. 123", "lattice": [[-0.7535, 4.9258, 2.0531], [-5.5210, -0.3084, -1.2865], [-1.0583, -2.2830, 5.0891]], "species": ["I", "I", "Ge", "Te", "H"], "fractional_positions": [[0.0000, 0.5000, 0.0000], [0.0000, 0.0000, 0.5000], [0.0000, 0.0000, 0.0000], [0.5000, 0.0000, 0.0000], [0.5000, 0.5000, 0.5000]]}

Entry 20:
{"formula": "InReGeH2", "functional": "GGA-PBEsol", "state": "optimized geometry", "space_group": "P4/mmm, No. 123", "lattice": [[3.7445, 0.0000, 0.0000], [0.0000, 3.7445, 0.0000], [0.0000, 0.0000, 4.8726]], "species": ["Re", "H", "H", "In", "Ge"], "fractional_positions": [[0.0000, 0.0000, 0.0000], [0.5000, 0.0000, 0.0000], [0.0000, 0.5000, 0.0000], [0.5000, 0.5000, 0.5000], [0.0000, 0.0000, 0.5000]]}

Entry 21:
{"formula": "InGeSbH2", "functional": "GGA-PBEsol", "state": "optimized geometry", "space_group": "P4/mmm, No. 123", "lattice": [[-2.4099, -0.5232, 2.9645], [-2.9578, -0.2946, -2.4564], [0.8637, -5.8774, -0.3352]], "species": ["Sb", "Ge", "H", "H", "In"], "fractional_positions": [[0.5000, 0.5000, 0.5000], [0.0000, 0.0000, 0.5000], [0.5000, 0.0000, 0.0000], [0.0000, 0.5000, 0.0000], [0.0000, 0.0000, 0.0000]]}

Entry 22:
{"formula": "GeH2Ir2", "functional": "GGA-PBEsol", "state": "optimized geometry", "space_group": "P4/mbm, No. 127", "lattice": [[3.3152, 0.0000, 0.0000], [0.0000, 5.5213, 0.0000], [0.0000, 0.0000, 5.5213]], "species": ["Ir", "Ir", "Ir", "Ir", "H", "H", "H", "H", "Ge", "Ge"], "fractional_positions": [[0.5000, 0.1780, 0.3220], [0.5000, 0.8220, 0.6780], [0.5000, 0.3220, 0.8220], [0.5000, 0.6780, 0.1780], [0.0000, 0.3969, 0.8969], [0.0000, 0.6031, 0.1031], [0.0000, 0.8969, 0.6031], [0.0000, 0.1031, 0.3969], [0.0000, 0.0000, 0.0000], [0.0000, 0.5000, 0.5000]]}

Entry 23:
{"formula": "GeH2Ir", "functional": "GGA-PBEsol", "state": "optimized geometry", "space_group": "Fm-3m, No. 225", "lattice": [[-1.1964, 2.5681, -2.4459], [0.1688, -0.6933, -3.6742], [-3.1465, -0.5864, -1.9403]], "species": ["H", "H", "Ge", "Ir"], "fractional_positions": [[0.7500, 0.7500, 0.7500], [0.2500, 0.2500, 0.2500], [0.0000, 0.0000, 0.0000], [0.5000, 0.5000, 0.5000]]}

Entry 24:
{"formula": "NiGe2HIr", "functional": "GGA-PBEsol", "state": "optimized geometry", "space_group": "P4/mmm, No. 123", "lattice": [[3.0668, 0.0000, 0.0000], [0.0000, 4.3674, 0.0000], [0.0000, 0.0000, 4.3674]], "species": ["Ir", "Ge", "Ge", "H", "Ni"], "fractional_positions": [[0.5000, 0.5000, 0.5000], [0.0000, 0.0000, 0.5000], [0.0000, 0.5000, 0.0000], [0.0000, 0.0000, 0.0000], [0.5000, 0.0000, 0.0000]]}

Entry 25:
{"formula": "KGe3H", "functional": "GGA-PBEsol", "state": "optimized geometry", "space_group": "Pm-3m, No. 221", "lattice": [[4.4649, 0.0000, 0.0000], [0.0000, 4.4649, 0.0000], [0.0000, 0.0000, 4.4649]], "species": ["K", "Ge", "Ge", "Ge", "H"], "fractional_positions": [[0.5000, 0.5000, 0.5000], [0.5000, 0.0000, 0.0000], [0.0000, 0.5000, 0.0000], [0.0000, 0.0000, 0.5000], [0.0000, 0.0000, 0.0000]]}

| no. | calculated total energy (eV/atom) |
| --- | --- |
| 1 | -8.675 |
| 2 | -8.710 |
| 3 | -3.200 |
| 4 | -4.564 |
| 5 | -6.260 |
| 6 | -4.923 |
| 7 | -4.939 |
| 8 | -6.692 |
| 9 | -8.327 |
| 10 | -6.584 |
| 11 | -5.375 |
| 12 | -1.538 |
| 13 | -2.376 |
| 14 | -3.348 |
| 15 | -2.241 |
| 16 | -2.883 |
| 17 | -3.475 |
| 18 | -2.863 |
| 19 | -2.417 |
| 20 | -4.978 |
| 21 | -3.464 |
| 22 | -6.115 |
| 23 | -4.536 |
| 24 | -5.734 |
| 25 | -3.443 |